Li5Fe3Sb2O10, relaxed, DFT GGA-PBEsol; symmetry = No. 2; crystal system = triclinic
1.0
5.074 0.000 0.000
-0.981 5.096 0.000
-1.822 -2.572 7.420
Li Fe Sb O
5 3 2 10
direct
0.000 0.000 0.000 Li
0.493 0.165 0.896 Li
0.494 0.623 0.693 Li
0.506 0.377 0.307 Li
0.507 0.835 0.104 Li
0.001 0.164 0.414 Fe
0.500 0.000 0.500 Fe
0.999 0.836 0.586 Fe
0.007 0.424 0.803 Sb
0.993 0.576 0.197 Sb
0.228 0.406 0.045 O
0.239 0.964 0.251 O
0.240 0.585 0.432 O
0.240 0.796 0.841 O
0.254 0.242 0.678 O
0.746 0.758 0.322 O
0.760 0.204 0.159 O
0.760 0.415 0.568 O
0.761 0.036 0.749 O
0.772 0.594 0.955 O

***

Li6Fe3Sb3O16, relaxed, DFT GGA-PBEsol; symmetry = No. 8; crystal system = monoclinic
1.0
5.081 -2.966 0.000
5.081 2.966 0.000
-1.553 0.000 9.657
Li Fe Sb O
6 3 3 16
direct
0.000 0.000 0.000 Li
0.238 0.238 0.145 Li
0.282 0.282 0.470 Li
0.524 0.524 0.066 Li
0.600 0.600 0.586 Li
0.957 0.957 0.589 Li
0.252 0.760 0.306 Fe
0.486 0.486 0.807 Fe
0.760 0.252 0.306 Fe
0.485 0.989 0.816 Sb
0.756 0.756 0.298 Sb
0.989 0.485 0.816 Sb
0.089 0.089 0.404 O
0.099 0.637 0.412 O
0.178 0.178 0.933 O
0.197 0.643 0.917 O
0.306 0.306 0.699 O
0.327 0.784 0.705 O
0.403 0.877 0.192 O
0.424 0.424 0.213 O
0.599 0.599 0.404 O
0.637 0.099 0.412 O
0.643 0.197 0.917 O
0.660 0.660 0.923 O
0.784 0.327 0.705 O
0.789 0.789 0.696 O
0.877 0.403 0.192 O
0.917 0.917 0.196 O

***

Respective formation energy without anion corrections values: -1.52, -1.60 eV/atom.
Respective uncorrected energy values: -6.436, -6.465 eV/atom.